Material: MnW2Au
Method: DFT, PBE
State: optimized geometry

## Properties
- ρ (g cm⁻³) = 16.69
- space-group type = Cmmm
- energy above the most stable polymorph in this dataset (meV/atom) = 88.0
- DFT formation energy (eV per atom) = 0.311

Unit cell a=2.713 b=2.713 c=8.646 alpha=90.00 beta=90.00 gamma=104.42
Site moments in Bohr magnetons follow the coordinates.
Sites, in units of the cell vectors:
Mn  0.500  0.500  0.750  1.64
Au  0.500  0.500  0.250  -0.01
W  0.000  0.000  0.977  -0.13
W  0.000  0.000  0.523  -0.13